! AlCoSi2 (PBE, relaxed); values from VASP
! total magnetic moment	0.00	μB per formula unit
! raw total energy	-5.406	eV per atom
! theoretical density	4.4	g/cm3
! space-group type	P-1, No. 2
! formation energy without anion corrections	0.018	eV/atom
&SYSTEM
  ibrav = 0, nat = 4, ntyp = 3
/
ATOMIC_SPECIES
Al 26.98 Al.upf
Co 58.93 Co.upf
Si 28.09 Si.upf
ATOMIC_POSITIONS crystal
Al 0.0000 0.0000 0.0000
Co 0.5000 0.5000 0.0000
Si 0.2804 0.7169 0.4980
Si 0.7196 0.2831 0.5020
CELL_PARAMETERS angstrom
3.8315 0.0000 0.0000
-0.5158 3.8202 0.0000
-1.1011 -1.2277 3.6873